Na2CdAg2Br6 (PBE, relaxed); D(E_F) = 0.000 states/eV/atom; DFT total energy = -2.66 eV/atom; total magnetization = 0.000 μB/atom; formation energy from raw total energies = -901.2 meV per atom
1.0
-6.554 -1.796 2.698
1.378 -0.924 -7.121
3.729 -5.419 2.532
Br Ag Cd Na
6 2 1 2
direct
0.940 0.611 0.248 Br
0.389 0.060 0.752 Br
0.237 0.237 0.268 Br
0.060 0.389 0.752 Br
0.763 0.763 0.732 Br
0.611 0.940 0.248 Br
0.831 0.169 0.000 Ag
0.169 0.831 0.000 Ag
0.000 0.000 0.500 Cd
0.334 0.666 0.500 Na
0.666 0.334 0.500 Na

Na2CdAgBr6 (PBE, relaxed); D(E_F) = 0.490 states/eV/atom; DFT total energy = -2.54 eV/atom; total magnetization = 0.063 μB/atom; formation energy from raw total energies = -897.3 meV per atom
1.0
-1.738 -2.700 -6.927
-2.700 -6.602 -0.917
-7.638 -0.970 -2.472
Br Na Ag Cd
6 2 1 1
direct
0.433 0.699 0.764 Br
0.603 0.179 0.292 Br
0.697 0.095 0.775 Br
0.961 0.576 0.253 Br
0.218 0.950 0.243 Br
0.077 0.465 0.737 Br
0.002 0.030 0.945 Na
0.523 0.524 0.442 Na
0.327 0.321 0.027 Ag
0.821 0.822 0.537 Cd

CdAgBrO (PBE, relaxed); D(E_F) = 0.147 states/eV/atom; DFT total energy = -3.11 eV/atom; total magnetization = 0.000 μB/atom; formation energy from raw total energies = -511.0 meV per atom
1.0
4.033 0.000 0.000
2.016 3.492 0.000
2.016 1.164 12.577
Cd Br O Ag
2 2 2 2
direct
0.698 0.698 0.906 Cd
0.302 0.302 0.094 Cd
0.215 0.215 0.354 Br
0.785 0.785 0.646 Br
0.636 0.636 0.092 O
0.364 0.364 0.908 O
0.916 0.916 0.252 Ag
0.084 0.084 0.748 Ag